1.
# LiCdRe3

A geometry-optimized LiCdRe3 structure (GGA-PBE, Alexandria).

Structure (extended XYZ):
```
5
Lattice="4.8576 0.0000 0.0000 0.0000 4.8576 0.0000 0.0000 0.0000 4.8576" Properties=species:S:1:pos:R:3 pbc="T T T"
Li 0.0000 0.0000 0.0000
Cd 2.4288 2.4288 2.4288
Re 0.0000 2.4288 2.4288
Re 2.4288 0.0000 2.4288
Re 2.4288 2.4288 0.0000
```

Calculated values
total magnetic moment: 0.00 μB per cell
relative energy among the computed polymorphs: 1.570 eV/atom
symmetry: Pm-3m, No. 221
formation energy: 1505.9 kJ/mol of formula units

***

2.
# LiCdRe

A geometry-optimized LiCdRe structure (GGA-PBE, Alexandria).

Structure (extended XYZ):
```
3
Lattice="-1.3377 1.3377 6.8772 1.3377 -1.3377 6.8772 1.3377 1.3377 -6.8772" Properties=species:S:1:pos:R:3 pbc="T T T"
Li 0.0000 0.0000 0.0000
Cd 0.0000 0.0000 4.5149
Re 0.0000 0.0000 8.9907
```

Calculated values
total magnetic moment: 0.00 μB per cell
relative energy among the computed polymorphs: 0.074 eV/atom
symmetry: I4mm, No. 107
formation energy: 109.1 kJ/mol of formula units

***

3.
# LiCdRe3

A geometry-optimized LiCdRe3 structure (GGA-PBE, Alexandria).

Structure (extended XYZ):
```
5
Lattice="4.2276 0.0000 0.0000 0.0000 4.2276 0.0000 0.0000 0.0000 4.2276" Properties=species:S:1:pos:R:3 pbc="T T T"
Li 0.0000 0.0000 0.0000
Cd 2.1138 2.1138 2.1138
Re 0.0000 0.0000 2.1138
Re 0.0000 2.1138 0.0000
Re 2.1138 0.0000 0.0000
```

Calculated values
total magnetic moment: 0.00 μB per cell
relative energy among the computed polymorphs: 0.000 eV/atom
symmetry: Pm-3m, No. 221
formation energy: 748.4 kJ/mol of formula units

***

4.
# LiCd4Re

A geometry-optimized LiCd4Re structure (GGA-PBE, Alexandria).

Structure (extended XYZ):
```
6
Lattice="0.0000 3.9507 3.9507 3.9507 0.0000 3.9507 3.9507 3.9507 0.0000" Properties=species:S:1:pos:R:3 pbc="T T T"
Li 0.0000 0.0000 0.0000
Cd 2.9656 2.9656 2.9656
Cd 4.9357 4.9357 2.9656
Cd 4.9357 2.9656 4.9357
Cd 2.9656 4.9357 4.9357
Re 5.9260 5.9260 5.9260
```

Calculated values
total magnetic moment: 2.78 μB per cell
symmetry: F-43m, No. 216
formation energy: 354.4 kJ/mol of formula units

***

5.
# LiCd2Re

A geometry-optimized LiCd2Re structure (GGA-PBE, Alexandria).

Structure (extended XYZ):
```
4
Lattice="-1.4393 2.4454 4.7576 1.4393 -2.4454 4.7576 1.4393 2.4454 -4.7576" Properties=species:S:1:pos:R:3 pbc="T T T"
Li 0.0000 0.0000 0.0000
Cd 1.4393 0.0000 2.2009
Cd 0.0000 2.4454 2.5568
Re 0.0000 0.0000 4.7576
```

Calculated values
total magnetic moment: 0.00 μB per cell
relative energy among the computed polymorphs: 0.284 eV/atom
symmetry: Immm, No. 71
formation energy: 210.1 kJ/mol of formula units

***

6.
# LiCdRe

A geometry-optimized LiCdRe structure (GGA-PBE, Alexandria).

Structure (extended XYZ):
```
3
Lattice="2.7745 0.0000 0.0000 -1.3872 2.4028 0.0000 0.0000 0.0000 7.3630" Properties=species:S:1:pos:R:3 pbc="T T T"
Li 0.0000 0.0000 0.0000
Cd 0.0000 1.6018 4.8560
Re 1.3872 0.8009 2.2646
```

Calculated values
total magnetic moment: 0.00 μB per cell
relative energy among the computed polymorphs: 0.000 eV/atom
symmetry: P3m1, No. 156
formation energy: 87.5 kJ/mol of formula units

***

7.
# LiCd2Re

A geometry-optimized LiCd2Re structure (GGA-PBE, Alexandria).

Structure (extended XYZ):
```
4
Lattice="2.7569 0.0000 0.0000 0.0000 2.7569 0.0000 0.0000 0.0000 9.3066" Properties=species:S:1:pos:R:3 pbc="T T T"
Li 0.0000 0.0000 0.0000
Cd 0.0000 0.0000 4.3619
Cd 1.3784 1.3784 7.0208
Re 1.3784 1.3784 2.0732
```

Calculated values
total magnetic moment: 0.00 μB per cell
relative energy among the computed polymorphs: 0.089 eV/atom
symmetry: P4mm, No. 99
formation energy: 134.8 kJ/mol of formula units

***

8.
# Li2CdRe4

A geometry-optimized Li2CdRe4 structure (GGA-PBE, Alexandria).

Structure (extended XYZ):
```
7
Lattice="-2.4278 2.4278 5.9644 2.4278 -2.4278 5.9644 2.4278 2.4278 -5.9644" Properties=species:S:1:pos:R:3 pbc="T T T"
Li 0.0000 0.0000 1.0855
Li 0.0000 0.0000 10.8433
Cd 0.0000 0.0000 5.9644
Re 2.4278 0.0000 0.0000
Re 0.0000 0.0000 3.4638
Re 0.0000 2.4278 0.0000
Re 0.0000 0.0000 8.4650
```

Calculated values
total magnetic moment: 1.80 μB per cell
symmetry: I4/mmm, No. 139
formation energy: 1981.3 kJ/mol of formula units

***

9.
# LiCd2Re

A geometry-optimized LiCd2Re structure (GGA-PBE, Alexandria).

Structure (extended XYZ):
```
4
Lattice="2.7550 0.0000 0.0000 0.0000 4.3642 0.0000 -0.8659 0.0000 5.7859" Properties=species:S:1:pos:R:3 pbc="T T T"
Li 0.0000 0.0000 0.0000
Cd 1.0069 2.1821 1.4546
Cd 0.8822 2.1821 4.3313
Re -0.4329 0.0000 2.8929
```

Calculated values
total magnetic moment: 0.00 μB per cell
relative energy among the computed polymorphs: 0.119 eV/atom
symmetry: P2/m, No. 10
formation energy: 146.5 kJ/mol of formula units

***

10.
# LiCd2Re

A geometry-optimized LiCd2Re structure (GGA-PBE, Alexandria).

Structure (extended XYZ):
```
4
Lattice="3.0379 -4.0015 0.0000 3.0379 4.0015 0.0000 0.0000 0.0000 2.8372" Properties=species:S:1:pos:R:3 pbc="T T T"
Li 0.0000 0.0000 0.0000
Cd 1.5189 2.0008 1.4186
Cd 1.5189 -2.0008 1.4186
Re 3.0379 0.0000 0.0000
```

Calculated values
total magnetic moment: 0.00 μB per cell
relative energy among the computed polymorphs: 0.007 eV/atom
symmetry: Cmmm, No. 65
formation energy: 103.3 kJ/mol of formula units

***

11.
# LiCd2Re

A geometry-optimized LiCd2Re structure (GGA-PBE, Alexandria).

Structure (extended XYZ):
```
4
Lattice="2.9259 0.0000 0.0000 0.0000 4.8353 0.0000 0.0000 0.0000 4.9026" Properties=species:S:1:pos:R:3 pbc="T T T"
Li 0.0000 0.0000 0.0000
Cd 0.0000 2.4176 2.4513
Cd 1.4629 2.4176 0.0000
Re 1.4629 0.0000 2.4513
```

Calculated values
total magnetic moment: 0.00 μB per cell
relative energy among the computed polymorphs: 0.311 eV/atom
symmetry: Pmmm, No. 47
formation energy: 220.4 kJ/mol of formula units

***

12.
# LiSc2CdRe

A geometry-optimized LiSc2CdRe structure (GGA-PBE, Alexandria).

Structure (extended XYZ):
```
5
Lattice="4.7513 0.0000 0.0000 0.0000 4.7513 0.0000 0.0000 0.0000 4.2219" Properties=species:S:1:pos:R:3 pbc="T T T"
Li 0.0000 0.0000 0.0000
Sc 0.0000 2.3757 0.0000
Sc 2.3757 0.0000 0.0000
Cd 0.0000 0.0000 2.1109
Re 2.3757 2.3757 2.1109
```

Calculated values
total magnetic moment: 0.00 μB per cell
symmetry: P4/mmm, No. 123
formation energy: 424.7 kJ/mol of formula units

***

Q: Look up the total magnetic moment of the tenth one.
A: 0.00 μB per cell